# 1
The following is a DFT calculation (PBE) of a relaxed structure of LiZnPt4.

Unit cell a=5.261 b=5.261 c=5.261 alpha=60.00 beta=60.00 gamma=60.00
Fractional positions:
Pt  0.375  0.875  0.375
Pt  0.375  0.375  0.875
Pt  0.875  0.375  0.375
Pt  0.375  0.375  0.375
Li  0.000  0.000  0.000
Zn  0.750  0.750  0.750

The value obtained for the total moment is 0.0 μB per formula unit. For the density of states at the Fermi level, the calculation gives 5.118 states/eV/f.u. The value obtained for the final energy is -4.80 eV/atom. The theoretical density is 13.749 g/cm³.

# 2
The following is a DFT calculation (PBE) of a relaxed structure of LiZn6Pt2.

Unit cell a=7.509 b=5.107 c=5.107 alpha=58.59 beta=64.62 gamma=64.62
Fractional positions:
Zn  0.394  0.795  0.795
Zn  0.218  0.867  0.373
Zn  0.606  0.205  0.205
Zn  0.782  0.627  0.133
Zn  0.782  0.133  0.627
Zn  0.218  0.373  0.867
Pt  0.218  0.367  0.367
Pt  0.782  0.633  0.633
Li  0.000  0.000  0.000

The value obtained for the total moment is 0.0 μB per formula unit. The energy above the most stable polymorph in this dataset is 95 meV/atom. For the density of states at the Fermi level, the calculation gives 1.996 states/eV/f.u. The theoretical density is 9.006 g/cm³.

# 3
The following is a DFT calculation (PBE) of a relaxed structure of Li3ZnPt.

Unit cell a=5.511 b=5.511 c=5.511 alpha=87.62 beta=87.62 gamma=87.62
Fractional positions:
Pt  0.132  0.132  0.132
Pt  0.868  0.868  0.868
Zn  0.622  0.622  0.622
Zn  0.378  0.378  0.378
Li  0.769  0.062  0.426
Li  0.062  0.426  0.769
Li  0.231  0.938  0.574
Li  0.426  0.769  0.062
Li  0.574  0.231  0.938
Li  0.938  0.574  0.231

The value obtained for the total moment is 0.0 μB per formula unit. The energy above the most stable polymorph in this dataset is 27 meV/atom. For the density of states at the Fermi level, the calculation gives 1.830 states/eV/f.u. The theoretical density is 5.595 g/cm³.

# 4
The following is a DFT calculation (PBE) of a relaxed structure of Li6ZnPt2.

Unit cell a=2.624 b=7.949 c=7.949 alpha=56.50 beta=70.94 gamma=70.94
Fractional positions:
Li  0.843  0.000  0.658
Li  0.157  0.000  0.342
Li  0.157  0.342  0.000
Li  0.843  0.658  0.000
Li  0.500  0.658  0.342
Li  0.500  0.342  0.658
Zn  0.000  0.000  0.000
Pt  0.666  0.667  0.667
Pt  0.334  0.333  0.333

The value obtained for the total moment is 0.0 μB per formula unit. The energy above the most stable polymorph in this dataset is 0 meV/atom. For the density of states at the Fermi level, the calculation gives 2.254 states/eV/f.u. The theoretical density is 6.431 g/cm³.

# 5
The following is a DFT calculation (PBE) of a relaxed structure of Li4Zn4Pt3.

Unit cell a=2.776 b=4.324 c=13.046 alpha=80.27 beta=89.53 gamma=90.09
Fractional positions:
Zn  0.517  0.719  0.561
Zn  0.494  0.909  0.185
Zn  0.483  0.281  0.439
Zn  0.506  0.091  0.815
Li  0.995  0.187  0.626
Li  0.445  0.458  0.087
Li  0.554  0.542  0.913
Li  0.005  0.813  0.374
Pt  0.000  0.000  0.000
Pt  0.971  0.370  0.261
Pt  0.029  0.630  0.739

The value obtained for the total moment is 0.0 μB per formula unit. For the density of states at the Fermi level, the calculation gives 3.637 states/eV/f.u. The value obtained for the final energy is -3.29 eV/atom. The theoretical density is 9.409 g/cm³.

# 6
The following is a DFT calculation (PBE) of a relaxed structure of Li5Zn5Pt2.

Unit cell a=4.756 b=4.748 c=10.227 alpha=83.46 beta=92.75 gamma=49.06
Fractional positions:
Zn  0.983  0.741  0.241
Zn  0.017  0.259  0.759
Zn  0.665  0.245  0.414
Zn  0.000  0.000  0.000
Zn  0.335  0.755  0.586
Li  0.318  0.991  0.326
Li  0.324  0.242  0.081
Li  0.000  0.500  0.500
Li  0.682  0.009  0.674
Li  0.676  0.758  0.919
Pt  0.350  0.513  0.833
Pt  0.650  0.487  0.167

The value obtained for the total moment is 0.0 μB per formula unit. For the density of states at the Fermi level, the calculation gives 3.238 states/eV/f.u. The value obtained for the final energy is -2.74 eV/atom. The theoretical density is 7.303 g/cm³.

# 7
The following is a DFT calculation (PBE) of a relaxed structure of LiZrZnPt.

Unit cell a=4.505 b=4.505 c=4.505 alpha=60.00 beta=60.00 gamma=60.00
Fractional positions:
Li  0.000  0.000  0.000
Zr  0.750  0.750  0.750
Pt  0.500  0.500  0.500
Zn  0.250  0.250  0.250

The value obtained for the total moment is 0.0 μB per formula unit. For the density of states at the Fermi level, the calculation gives 5.432 states/eV/f.u. The value obtained for the final energy is -5.06 eV/atom. The theoretical density is 9.215 g/cm³.

# 8
The following is a DFT calculation (PBE) of a relaxed structure of Li2ZrZnPt.

Unit cell a=5.360 b=4.926 c=5.360 alpha=90.00 beta=90.00 gamma=90.00
Last column: magnetic moment on the atom in μB.
Fractional positions:
Li  0.500  0.000  0.000  0.10
Li  0.000  0.000  0.500  0.08
Zn  0.500  0.500  0.500  -0.01
Zr  0.000  0.000  0.000  1.00
Pt  0.000  0.500  0.000  0.06

The value obtained for the total moment is 2.0 μB per formula unit. For the density of states at the Fermi level, the calculation gives 4.376 states/eV/f.u. The value obtained for the final energy is -3.00 eV/atom. The theoretical density is 4.290 g/cm³.

# 9
The following is a DFT calculation (PBE) of a relaxed structure of LiZr2Pt3.

Unit cell a=8.254 b=8.254 c=8.254 alpha=145.66 beta=138.66 gamma=54.79
Fractional positions:
Pt  0.179  0.173  0.006
Pt  0.000  0.500  0.500
Pt  0.668  0.173  0.494
Pt  0.332  0.827  0.506
Pt  0.821  0.827  0.994
Pt  0.500  0.500  0.000
Li  0.588  0.338  0.250
Li  0.412  0.662  0.750
Zr  0.250  0.000  0.250
Zr  0.750  0.000  0.750
Zr  0.083  0.333  0.750
Zr  0.917  0.667  0.250

The value obtained for the total moment is 0.0 μB per formula unit. For the density of states at the Fermi level, the calculation gives 3.303 states/eV/f.u. The value obtained for the final energy is -7.08 eV/atom. The theoretical density is 12.362 g/cm³.

# 10
The following is a DFT calculation (PBE) of a relaxed structure of LiZr2Pt.

Unit cell a=4.151 b=2.947 c=6.785 alpha=64.07 beta=90.00 gamma=90.00
Fractional positions:
Zr  0.000  0.491  0.510
Zr  0.000  0.009  0.990
Pt  0.500  0.750  0.750
Li  0.500  0.250  0.250

The value obtained for the total moment is 0.0 μB per formula unit. For the density of states at the Fermi level, the calculation gives 3.504 states/eV/f.u. The value obtained for the final energy is -6.61 eV/atom. The theoretical density is 8.553 g/cm³.

# 11
The following is a DFT calculation (PBE) of a relaxed structure of LiZrPt3.

Unit cell a=4.302 b=4.302 c=4.302 alpha=90.00 beta=90.00 gamma=90.00
Fractional positions:
Li  0.000  0.000  0.000
Pt  0.000  0.500  0.000
Pt  0.000  0.000  0.500
Pt  0.500  0.000  0.000
Zr  0.500  0.500  0.500

The value obtained for the total moment is 0.0 μB per formula unit. The energy above the most stable polymorph in this dataset is 435 meV/atom. For the density of states at the Fermi level, the calculation gives 10.403 states/eV/f.u. The theoretical density is 14.257 g/cm³.

# 12
The following is a DFT calculation (PBE) of a relaxed structure of LiZr2Pt.

Unit cell a=7.667 b=7.667 c=7.667 alpha=36.30 beta=154.60 gamma=154.50
Fractional positions:
Pt  0.000  0.500  0.500
Li  0.000  0.000  0.000
Zr  0.000  0.320  0.320
Zr  0.000  0.680  0.680

The value obtained for the total moment is 0.0 μB per formula unit. For the density of states at the Fermi level, the calculation gives 1.441 states/eV/f.u. The value obtained for the final energy is -6.36 eV/atom. The theoretical density is 7.681 g/cm³.

Question: Among the records above, which one has the highest theoretical density?
Answer: LiZrPt3